# 1
Compound: Na5Al3F14
Source: the Alexandria database
Functional: SCAN
Structure: single point on PBEsol structure

Volume in Å³/atom: 11.6
Formation energy from raw total energies in meV per atom: -3487

Unit cell a=6.9997 b=6.9997 c=10.4025 alpha=90.00 beta=90.00 gamma=90.00
Fractional coordinates of all 44 atoms:
Na (0.0000, 0.0000, 0.5000)
Na (0.5000, 0.5000, 0.0000)
Na (0.2786, 0.7786, 0.2500)
Na (0.2214, 0.2786, 0.2500)
Na (0.7786, 0.7214, 0.2500)
Na (0.7214, 0.2214, 0.2500)
Na (0.2786, 0.7786, 0.7500)
Na (0.2214, 0.2786, 0.7500)
Na (0.7786, 0.7214, 0.7500)
Na (0.7214, 0.2214, 0.7500)
Al (0.0000, 0.0000, 0.0000)
Al (0.5000, 0.5000, 0.5000)
Al (0.0000, 0.5000, 0.0000)
Al (0.5000, 0.0000, 0.0000)
Al (0.5000, 0.0000, 0.5000)
Al (0.0000, 0.5000, 0.5000)
F (0.0393, 0.6805, 0.6208)
F (0.9607, 0.3195, 0.6208)
F (0.1805, 0.5393, 0.8792)
F (0.6805, 0.9607, 0.6208)
F (0.3195, 0.0393, 0.6208)
F (0.4607, 0.1805, 0.8792)
F (0.5393, 0.8195, 0.8792)
F (0.8195, 0.4607, 0.8792)
F (0.9607, 0.3195, 0.3792)
F (0.0393, 0.6805, 0.3792)
F (0.8195, 0.4607, 0.1208)
F (0.3195, 0.0393, 0.3792)
F (0.6805, 0.9607, 0.3792)
F (0.5393, 0.8195, 0.1208)
F (0.4607, 0.1805, 0.1208)
F (0.1805, 0.5393, 0.1208)
F (0.0000, 0.0000, 0.1729)
F (0.5000, 0.5000, 0.3271)
F (0.0000, 0.0000, 0.8271)
F (0.5000, 0.5000, 0.6729)
F (0.0713, 0.2479, 0.0000)
F (0.7521, 0.0713, 0.0000)
F (0.2479, 0.9287, 0.0000)
F (0.5713, 0.2521, 0.5000)
F (0.4287, 0.7479, 0.5000)
F (0.9287, 0.7521, 0.0000)
F (0.7479, 0.5713, 0.5000)
F (0.2521, 0.4287, 0.5000)


# 2
Compound: Na2AlNiF7
Source: the Alexandria database
Functional: SCAN
Structure: single point on PBEsol structure

Volume in Å³/atom: 11.7
Formation energy from raw total energies in meV per atom: -3136

Unit cell a=6.9999 b=7.1231 c=7.1231 alpha=61.94 beta=60.57 gamma=60.57
Fractional coordinates of all 22 atoms:
Na (0.0000, 0.0000, 0.5000)
Na (0.5000, 0.0000, 0.5000)
Na (0.0000, 0.0000, 0.0000)
Na (0.5000, 0.5000, 0.5000)
Al (0.0000, 0.5000, 0.5000)
Al (0.5000, 0.0000, 0.0000)
Ni (0.5000, 0.5000, 0.0000)
Ni (0.0000, 0.5000, 0.0000)
F (0.3024, 0.4518, 0.3224)
F (0.8024, 0.8224, 0.9518)
F (0.7500, 0.3786, 0.1214)
F (0.4153, 0.8630, 0.3064)
F (0.9234, 0.4518, 0.3224)
F (0.9153, 0.8064, 0.3630)
F (0.2500, 0.6214, 0.8786)
F (0.5847, 0.1370, 0.6936)
F (0.0847, 0.1936, 0.6370)
F (0.0766, 0.5482, 0.6776)
F (0.4234, 0.8224, 0.9518)
F (0.6976, 0.5482, 0.6776)
F (0.1976, 0.1776, 0.0482)
F (0.5766, 0.1776, 0.0482)


# 3
Compound: Na3Al2P2O8F3
Source: the Alexandria database
Functional: SCAN
Structure: single point on PBEsol structure

Offset from the most stable computed form in eV/f.u.: 0.108
Volume in Å³/atom: 11.2
Formation energy from raw total energies in meV per atom: -2976

Unit cell a=6.2269 b=6.2281 c=10.3643 alpha=90.00 beta=90.00 gamma=90.07
Fractional coordinates of all 36 atoms:
Na (0.1550, 0.7487, 0.0000)
Na (0.6573, 0.2496, 0.5000)
Na (0.7573, 0.1776, 0.0000)
Na (0.2316, 0.2208, 0.0000)
Na (0.2574, 0.6777, 0.5000)
Na (0.7312, 0.7213, 0.5000)
Al (0.5035, 0.5065, 0.1802)
Al (0.0034, 0.0063, 0.6802)
Al (0.0034, 0.0063, 0.3198)
Al (0.5035, 0.5065, 0.8198)
P (0.9944, 0.4964, 0.2501)
P (0.4944, 0.9965, 0.7501)
P (0.4944, 0.9965, 0.2499)
P (0.9944, 0.4964, 0.7499)
O (0.9853, 0.3029, 0.3418)
O (0.8012, 0.4991, 0.1576)
O (0.1971, 0.4907, 0.1640)
O (0.9989, 0.6993, 0.3360)
O (0.4855, 0.8031, 0.8419)
O (0.4855, 0.8031, 0.1581)
O (0.3010, 0.9989, 0.6578)
O (0.6970, 0.9907, 0.6639)
O (0.3010, 0.9989, 0.3422)
O (0.6970, 0.9907, 0.3361)
O (0.4991, 0.1995, 0.8359)
O (0.4991, 0.1995, 0.1641)
O (0.9853, 0.3029, 0.6582)
O (0.8012, 0.4991, 0.8424)
O (0.1971, 0.4907, 0.8360)
O (0.9989, 0.6993, 0.6640)
F (0.4903, 0.4923, 0.0000)
F (0.5114, 0.5138, 0.3563)
F (0.9904, 0.9923, 0.5000)
F (0.0110, 0.0135, 0.8563)
F (0.0110, 0.0135, 0.1437)
F (0.5114, 0.5138, 0.6437)


# 4
Compound: Na3Al2P2O8F3
Source: the Alexandria database
Functional: SCAN
Structure: single point on PBEsol structure

Offset from the most stable computed form in eV/f.u.: 0.000
Volume in Å³/atom: 11.2
Formation energy from raw total energies in meV per atom: -2982

Unit cell a=6.8178 b=6.8178 c=8.7875 alpha=90.00 beta=90.00 gamma=99.59
Fractional coordinates of all 36 atoms:
Na (0.5251, 0.5251, 0.0120)
Na (0.7744, 0.7744, 0.7801)
Na (0.1259, 0.1259, 0.6549)
Na (0.2256, 0.2256, 0.2801)
Na (0.4749, 0.4749, 0.5120)
Na (0.8741, 0.8741, 0.1549)
Al (0.0669, 0.4249, 0.9958)
Al (0.4249, 0.0669, 0.9958)
Al (0.5751, 0.9331, 0.4958)
Al (0.9331, 0.5751, 0.4958)
P (0.2560, 0.7484, 0.7504)
P (0.7484, 0.2560, 0.7504)
P (0.7440, 0.2516, 0.2504)
P (0.2516, 0.7440, 0.2504)
O (0.2448, 0.5642, 0.8525)
O (0.0702, 0.7392, 0.6484)
O (0.2626, 0.9403, 0.8436)
O (0.4463, 0.7610, 0.6528)
O (0.5642, 0.2448, 0.8525)
O (0.7392, 0.0702, 0.6484)
O (0.9403, 0.2626, 0.8436)
O (0.7610, 0.4463, 0.6528)
O (0.7374, 0.0597, 0.3436)
O (0.5537, 0.2390, 0.1528)
O (0.7552, 0.4358, 0.3525)
O (0.9298, 0.2608, 0.1484)
O (0.0597, 0.7374, 0.3436)
O (0.2390, 0.5537, 0.1528)
O (0.4358, 0.7552, 0.3525)
O (0.2608, 0.9298, 0.1484)
F (0.2467, 0.2467, 0.0031)
F (0.8904, 0.6006, 0.9943)
F (0.6006, 0.8904, 0.9943)
F (0.7533, 0.7533, 0.5031)
F (0.3994, 0.1096, 0.4943)
F (0.1096, 0.3994, 0.4943)


# 5
Compound: Na5AlP2O8F2
Source: the Alexandria database
Functional: SCAN
Structure: single point on PBEsol structure

Volume in Å³/atom: 11.6
Formation energy from raw total energies in meV per atom: -2757

Unit cell a=6.6040 b=10.4754 c=10.4754 alpha=120.00 beta=90.00 gamma=90.00
Fractional coordinates of all 54 atoms:
Na (0.0836, 0.3333, 0.6667)
Na (0.4745, 0.6667, 0.3333)
Na (0.7344, 0.8303, 0.6849)
Na (0.7344, 0.8547, 0.1697)
Na (0.2656, 0.1697, 0.3151)
Na (0.2656, 0.1453, 0.8303)
Na (0.7344, 0.3151, 0.1453)
Na (0.0000, 0.0000, 0.5000)
Na (0.5255, 0.3333, 0.6667)
Na (0.2656, 0.6849, 0.8547)
Na (0.0000, 0.0000, 0.0000)
Na (0.9164, 0.6667, 0.3333)
Na (0.0000, 0.5000, 0.5000)
Na (0.5000, 0.0000, 0.0000)
Na (0.0000, 0.5000, 0.0000)
Al (0.5000, 0.5000, 0.0000)
Al (0.5000, 0.5000, 0.5000)
Al (0.5000, 0.0000, 0.5000)
P (0.7497, 0.1863, 0.3705)
P (0.7497, 0.6295, 0.8158)
P (0.2503, 0.3705, 0.1842)
P (0.2503, 0.8137, 0.6295)
P (0.7497, 0.1842, 0.8137)
P (0.2503, 0.8158, 0.1863)
O (0.4224, 0.4319, 0.1277)
O (0.7012, 0.5710, 0.6496)
O (0.4224, 0.8723, 0.3042)
O (0.5776, 0.3042, 0.4319)
O (0.2988, 0.4290, 0.3504)
O (0.7432, 0.0972, 0.8965)
O (0.9563, 0.5681, 0.8251)
O (0.2988, 0.9214, 0.5710)
O (0.0437, 0.4319, 0.1749)
O (0.7432, 0.1035, 0.2007)
O (0.2568, 0.8965, 0.7993)
O (0.7012, 0.3504, 0.9214)
O (0.7432, 0.7993, 0.9028)
O (0.5776, 0.1277, 0.6958)
O (0.7012, 0.0786, 0.4290)
O (0.4224, 0.6958, 0.5681)
O (0.9563, 0.2569, 0.4319)
O (0.5776, 0.5681, 0.8723)
O (0.0437, 0.7431, 0.5681)
O (0.2568, 0.9028, 0.1035)
O (0.9563, 0.1749, 0.7431)
O (0.2568, 0.2007, 0.0972)
O (0.2988, 0.6496, 0.0786)
O (0.0437, 0.8251, 0.2569)
F (0.3100, 0.1373, 0.5201)
F (0.3100, 0.3827, 0.8627)
F (0.6900, 0.6173, 0.1373)
F (0.6900, 0.5201, 0.3827)
F (0.3100, 0.4799, 0.6173)
F (0.6900, 0.8627, 0.4799)


# 6
Compound: Rb2NaAlF6
Source: the Alexandria database
Functional: SCAN
Structure: single point on PBEsol structure

Volume in Å³/atom: 14.1
Formation energy from raw total energies in meV per atom: -3435

Unit cell a=5.8485 b=5.8485 c=5.8485 alpha=60.00 beta=60.00 gamma=60.00
Fractional coordinates of all 10 atoms:
Na (0.0000, 0.0000, 0.0000)
Al (0.5000, 0.5000, 0.5000)
Rb (0.2500, 0.2500, 0.2500)
Rb (0.7500, 0.7500, 0.7500)
F (0.2787, 0.7213, 0.2787)
F (0.2787, 0.2787, 0.7213)
F (0.7213, 0.7213, 0.2787)
F (0.7213, 0.2787, 0.2787)
F (0.2787, 0.7213, 0.7213)
F (0.7213, 0.2787, 0.7213)


# 7
Compound: NaAlRe2F
Source: the Alexandria database
Functional: SCAN
Structure: single point on PBEsol structure

Volume in Å³/atom: 15.8
Formation energy from raw total energies in meV per atom: 1084

Unit cell a=4.0790 b=4.0790 c=4.7388 alpha=90.00 beta=90.00 gamma=90.00
Fractional coordinates of all 5 atoms:
Re (0.0000, 0.5000, 0.0000)
Re (0.5000, 0.0000, 0.0000)
F (0.0000, 0.0000, 0.0000)
Al (0.0000, 0.0000, 0.5000)
Na (0.5000, 0.5000, 0.5000)


# 8
Compound: Nb2Al2F
Source: the Alexandria database
Functional: SCAN
Structure: single point on PBEsol structure

Volume in Å³/atom: 17.3
Formation energy from raw total energies in meV per atom: 67

Unit cell a=2.8716 b=7.7555 c=7.7555 alpha=90.00 beta=90.00 gamma=90.00
Fractional coordinates of all 10 atoms:
Nb (0.5000, 0.1773, 0.6773)
Nb (0.5000, 0.6773, 0.8227)
Nb (0.5000, 0.8227, 0.3227)
Nb (0.5000, 0.3227, 0.1773)
Al (0.0000, 0.3807, 0.8807)
Al (0.0000, 0.8807, 0.6193)
Al (0.0000, 0.6193, 0.1193)
Al (0.0000, 0.1193, 0.3807)
F (0.0000, 0.0000, 0.0000)
F (0.0000, 0.5000, 0.5000)


# 9
Compound: AlNiOF2
Source: the Alexandria database
Functional: SCAN
Structure: single point on PBEsol structure

Volume in Å³/atom: 11.1
Formation energy from raw total energies in meV per atom: -1157

Unit cell a=3.8100 b=3.8100 c=3.8314 alpha=90.00 beta=90.00 gamma=90.00
Fractional coordinates of all 5 atoms:
Ni (0.0000, 0.0000, 0.0000)
Al (0.5000, 0.5000, 0.5000)
O (0.0000, 0.0000, 0.5000)
F (0.0000, 0.5000, 0.0000)
F (0.5000, 0.0000, 0.0000)


# 10
Compound: Al2NiOsF
Source: the Alexandria database
Functional: SCAN
Structure: single point on PBEsol structure

Volume in Å³/atom: 17.3
Formation energy from raw total energies in meV per atom: 387

Unit cell a=3.8556 b=4.7357 c=4.7357 alpha=90.00 beta=90.00 gamma=90.00
Fractional coordinates of all 5 atoms:
Ni (0.5000, 0.5000, 0.5000)
Os (0.0000, 0.0000, 0.0000)
Al (0.0000, 0.0000, 0.5000)
Al (0.0000, 0.5000, 0.0000)
F (0.5000, 0.0000, 0.0000)


# 11
Compound: Al2OF
Source: the Alexandria database
Functional: SCAN
Structure: single point on PBEsol structure

Volume in Å³/atom: 12.2
Formation energy from raw total energies in meV per atom: -656

Unit cell a=4.0984 b=4.0984 c=4.0984 alpha=60.00 beta=60.00 gamma=60.00
Fractional coordinates of all 4 atoms:
Al (0.2500, 0.2500, 0.2500)
Al (0.7500, 0.7500, 0.7500)
O (0.0000, 0.0000, 0.0000)
F (0.5000, 0.5000, 0.5000)


# 12
Compound: AlOsO2F
Source: the Alexandria database
Functional: SCAN
Structure: single point on PBEsol structure

Volume in Å³/atom: 18.3
Formation energy from raw total energies in meV per atom: -681

Unit cell a=3.6486 b=3.6486 c=6.8716 alpha=90.00 beta=90.00 gamma=90.00
Fractional coordinates of all 5 atoms:
Os (0.0000, 0.0000, 0.0000)
Al (0.5000, 0.5000, 0.5000)
O (0.0000, 0.5000, 0.0000)
O (0.5000, 0.0000, 0.0000)
F (0.0000, 0.0000, 0.5000)